[1]
Computed, not measured: a relaxed structure of Tb6SiC2S3 at the PBE level of DFT.

Output
Theoretical density, kg/m3: 7330
D(E_F), states/eV/atom: 0.075
M_tot, μB/f.u.: 0.0
Calculated total energy, eV/atom: -6.598

abc: 3.804 7.931 8.740
angles: 103.75 102.57 90.00
Fractional positions:
Tb (0.330, 0.883, 0.660)
Tb (0.677, 0.563, 0.353)
Tb (0.670, 0.117, 0.340)
Tb (0.014, 0.262, 0.027)
Tb (0.986, 0.738, 0.973)
Tb (0.323, 0.437, 0.647)
Si (0.500, 0.000, 0.000)
C (0.829, 0.659, 0.658)
C (0.171, 0.341, 0.342)
S (0.500, 0.500, 0.000)
S (0.836, 0.169, 0.671)
S (0.164, 0.831, 0.329)

---

[2]
Computed, not measured: a relaxed structure of NdMgPd at the PBE level of DFT.

Output
Theoretical density, kg/m3: 6564
D(E_F), states/eV/atom: 0.739
Formation energy from the elements, eV per atom: -0.641
M_tot, μB/f.u.: 0.0

abc: 4.347 8.734 7.327
angles: 90.00 90.00 90.00
Fractional positions:
Nd (0.250, 0.819, 0.458)
Nd (0.750, 0.319, 0.042)
Nd (0.250, 0.681, 0.958)
Nd (0.750, 0.181, 0.542)
Mg (0.750, 0.939, 0.135)
Mg (0.750, 0.561, 0.635)
Mg (0.250, 0.061, 0.865)
Mg (0.250, 0.439, 0.365)
Pd (0.750, 0.620, 0.252)
Pd (0.750, 0.880, 0.752)
Pd (0.250, 0.120, 0.248)
Pd (0.250, 0.380, 0.748)

---

[3]
Computed, not measured: a relaxed structure of BaAs2Pb at the PBE level of DFT.

Output
Theoretical density, kg/m3: 7134
D(E_F), states/eV/atom: 0.534
Formation energy from the elements, eV per atom: -0.079
M_tot, μB/f.u.: 0.0

abc: 5.460 5.460 5.460
angles: 60.00 60.00 60.00
Fractional positions:
Pb (0.750, 0.750, 0.750)
As (0.000, 0.000, 0.000)
As (0.250, 0.250, 0.250)
Ba (0.500, 0.500, 0.500)

---

Number 1: V 20.80 A^3/atom. Number 2: V 23.19 A^3/atom. Number 3: V 28.77 A^3/atom.